Entry 1:
Crystalline MgInNi2Ge at its relaxed geometry, computed with GGA-PBE.

Cell: 4.425 4.812 4.425 Å, 90.00 90.00 90.00°
Atoms (fractional coordinates):
Ge 0.000 0.000 0.000
In 0.500 0.500 0.500
Mg 0.000 0.500 0.000
Ni 0.000 0.000 0.500
Ni 0.500 0.000 0.000

Properties
uncorrected energy = -3.773 eV/atom

---

Entry 2:
Crystalline MgInGe2O6 at its relaxed geometry, computed with GGA-PBE.

Cell: 5.364 6.949 6.949 Å, 86.56 82.91 82.91°
Atoms (fractional coordinates):
O 0.605 0.160 0.620
O 0.895 0.380 0.840
O 0.402 0.573 0.709
O 0.149 0.978 0.772
O 0.351 0.228 0.022
O 0.649 0.772 0.978
O 0.851 0.022 0.228
O 0.098 0.291 0.427
O 0.395 0.840 0.380
O 0.105 0.620 0.160
O 0.902 0.709 0.573
O 0.598 0.427 0.291
In 0.750 0.095 0.905
In 0.250 0.905 0.095
Ge 0.786 0.213 0.399
Ge 0.214 0.787 0.601
Ge 0.286 0.399 0.213
Ge 0.714 0.601 0.787
Mg 0.250 0.283 0.717
Mg 0.750 0.717 0.283

Properties
uncorrected energy = -6.056 eV/atom
uncorrected formation energy = -1724 meV per atom

---

Entry 3:
Crystalline MgIn2GeOs at its relaxed geometry, computed with GGA-PBE.

Cell: 5.160 4.822 5.160 Å, 90.00 90.00 90.00°
Site moments in Bohr magnetons follow the coordinates.
Atoms (fractional coordinates):
In 0.500 0.000 0.000  -0.05
In 0.000 0.000 0.500  -0.01
Os 0.500 0.500 0.500  1.96
Ge 0.000 0.000 0.000  0.00
Mg 0.000 0.500 0.000  -0.01

Properties
uncorrected energy = -3.311 eV/atom

---

Entry 4:
Crystalline MgInGePb at its relaxed geometry, computed with GGA-PBE.

Cell: 5.219 5.219 5.219 Å, 60.00 60.00 60.00°
Atoms (fractional coordinates):
In 0.500 0.500 0.500
Pb 0.250 0.250 0.250
Ge 0.000 0.000 0.000
Mg 0.750 0.750 0.750

Properties
uncorrected energy = -3.056 eV/atom

---

Entry 5:
Crystalline Mg2InGe2Pd5 at its relaxed geometry, computed with GGA-PBE.

Cell: 3.673 9.697 9.697 Å, 90.00 90.00 90.00°
Atoms (fractional coordinates):
Mg 0.000 0.329 0.829
Mg 0.000 0.829 0.671
Mg 0.000 0.671 0.171
Mg 0.000 0.171 0.329
Pd 0.500 0.074 0.796
Pd 0.500 0.704 0.426
Pd 0.500 0.500 0.000
Pd 0.500 0.000 0.500
Pd 0.500 0.426 0.296
Pd 0.500 0.796 0.926
Pd 0.500 0.204 0.074
Pd 0.500 0.296 0.574
Pd 0.500 0.926 0.204
Pd 0.500 0.574 0.704
Ge 0.000 0.872 0.372
Ge 0.000 0.628 0.872
Ge 0.000 0.372 0.128
Ge 0.000 0.128 0.628
In 0.000 0.500 0.500
In 0.000 0.000 0.000

Properties
uncorrected energy = -4.627 eV/atom

---

Entry 6:
Crystalline Mg2In2GePd4 at its relaxed geometry, computed with GGA-PBE.

Cell: 6.148 6.148 6.148 Å, 93.18 118.18 118.18°
Atoms (fractional coordinates):
Pd 0.000 0.731 0.269
Pd 0.538 0.269 0.269
Pd 0.000 0.269 0.731
Pd 0.462 0.731 0.731
In 0.500 0.250 0.750
In 0.500 0.750 0.250
Mg 0.000 0.698 0.698
Mg 0.000 0.302 0.302
Ge 0.000 0.000 0.000

Properties
uncorrected energy = -4.116 eV/atom

---

Entry 7:
Crystalline PrMg2InGe at its relaxed geometry, computed with GGA-PBE.

Cell: 4.137 8.374 7.955 Å, 90.00 90.00 104.30°
Atoms (fractional coordinates):
Mg 0.180 0.359 0.935
Mg 0.820 0.641 0.435
Mg 0.820 0.641 0.065
Mg 0.180 0.359 0.565
Ge 0.747 0.493 0.750
Ge 0.253 0.507 0.250
In 0.000 0.000 0.000
In 0.000 0.000 0.500
Pr 0.606 0.211 0.250
Pr 0.394 0.789 0.750

Properties
uncorrected energy = -3.316 eV/atom

---

Entry 8:
Crystalline RbMgIn2Ge2 at its relaxed geometry, computed with GGA-PBE.

Cell: 4.936 4.936 8.160 Å, 90.00 90.00 120.00°
Atoms (fractional coordinates):
In 0.667 0.333 0.332
In 0.333 0.667 0.668
Mg 0.000 0.000 0.500
Ge 0.333 0.667 0.314
Ge 0.667 0.333 0.686
Rb 0.000 0.000 0.000

Properties
uncorrected energy = -2.933 eV/atom

---

Entry 9:
Crystalline MgInGeSe2 at its relaxed geometry, computed with GGA-PBE.

Cell: 5.237 5.106 5.237 Å, 90.00 90.00 90.00°
Atoms (fractional coordinates):
Se 0.000 0.000 0.500
Se 0.500 0.000 0.000
Mg 0.500 0.500 0.500
In 0.000 0.500 0.000
Ge 0.000 0.000 0.000

Properties
uncorrected energy = -3.015 eV/atom
uncorrected formation energy = 169 meV per atom

---

Entry 10:
Crystalline SmMg2InGe at its relaxed geometry, computed with GGA-PBE.

Cell: 3.994 8.395 7.995 Å, 90.00 90.00 103.76°
Atoms (fractional coordinates):
Sm 0.605 0.210 0.250
Sm 0.395 0.790 0.750
Mg 0.178 0.357 0.935
Mg 0.178 0.357 0.565
Mg 0.822 0.643 0.065
Mg 0.822 0.643 0.435
In 0.000 0.000 0.500
In 0.000 0.000 0.000
Ge 0.250 0.499 0.250
Ge 0.750 0.501 0.750

Properties
uncorrected energy = -3.297 eV/atom

---

Entry 11:
Crystalline MgIn2SnGe at its relaxed geometry, computed with GGA-PBE.

Cell: 5.473 5.003 5.473 Å, 90.00 90.00 90.00°
Atoms (fractional coordinates):
Ge 0.000 0.500 0.000
Mg 0.000 0.000 0.000
Sn 0.500 0.500 0.500
In 0.000 0.000 0.500
In 0.500 0.000 0.000

Properties
uncorrected energy = -2.669 eV/atom

---

Entry 12:
Crystalline Sr2Mg4InGe3 at its relaxed geometry, computed with GGA-PBE.

Cell: 4.606 4.606 11.706 Å, 90.00 90.00 90.00°
Atoms (fractional coordinates):
Mg 0.500 0.500 0.000
Mg 0.500 0.000 0.641
Mg 0.000 0.000 0.000
Mg 0.000 0.500 0.359
Sr 0.500 0.000 0.245
Sr 0.000 0.500 0.755
Ge 0.000 0.500 0.133
Ge 0.500 0.000 0.867
Ge 0.000 0.000 0.500
In 0.500 0.500 0.500

Properties
uncorrected energy = -3.023 eV/atom

---

Entry 13:
Crystalline Mg2TaInGe at its relaxed geometry, computed with GGA-PBE.

Cell: 4.838 5.340 4.838 Å, 90.00 90.00 90.00°
Site moments in Bohr magnetons follow the coordinates.
Atoms (fractional coordinates):
Mg 0.500 0.000 0.000  0.00
Mg 0.000 0.000 0.500  0.00
Ta 0.500 0.500 0.500  1.23
Ge 0.000 0.000 0.000  0.01
In 0.000 0.500 0.000  -0.02

Properties
uncorrected energy = -3.453 eV/atom

---

Entry 14:
Crystalline MgInGe2Te at its relaxed geometry, computed with GGA-PBE.

Cell: 5.104 5.610 5.104 Å, 90.00 90.00 90.00°
Atoms (fractional coordinates):
Ge 0.500 0.000 0.000
Ge 0.000 0.000 0.500
In 0.500 0.500 0.500
Mg 0.000 0.000 0.000
Te 0.000 0.500 0.000

Properties
uncorrected energy = -2.896 eV/atom
uncorrected formation energy = 446 meV per atom

---

Entry 15:
Crystalline MgTlInGe at its relaxed geometry, computed with GGA-PBE.

Cell: 5.188 5.188 5.188 Å, 60.00 60.00 60.00°
Atoms (fractional coordinates):
Tl 0.500 0.500 0.500
Ge 0.000 0.000 0.000
In 0.250 0.250 0.250
Mg 0.750 0.750 0.750

Properties
uncorrected energy = -2.741 eV/atom

---

Entry 16:
Crystalline Mg2InGeW at its relaxed geometry, computed with GGA-PBE.

Cell: 5.337 4.880 5.337 Å, 90.00 90.00 90.00°
Site moments in Bohr magnetons follow the coordinates.
Atoms (fractional coordinates):
Ge 0.000 0.500 0.000  -0.02
W 0.000 0.000 0.000  0.92
Mg 0.000 0.000 0.500  0.00
Mg 0.500 0.000 0.000  0.01
In 0.500 0.500 0.500  0.01

Properties
uncorrected energy = -3.927 eV/atom

---

Entry 17:
Crystalline YMg2InGe at its relaxed geometry, computed with GGA-PBE.

Cell: 5.033 5.394 5.033 Å, 90.00 90.00 90.00°
Atoms (fractional coordinates):
In 0.000 0.500 0.000
Y 0.500 0.500 0.500
Mg 0.500 0.000 0.000
Mg 0.000 0.000 0.500
Ge 0.000 0.000 0.000

Properties
uncorrected energy = -3.229 eV/atom

---

Entry 18:
Crystalline Y2MgInGe at its relaxed geometry, computed with GGA-PBE.

Cell: 5.471 4.897 5.471 Å, 90.00 90.00 90.00°
Atoms (fractional coordinates):
Mg 0.000 0.500 0.000
In 0.500 0.500 0.500
Y 0.000 0.000 0.500
Y 0.500 0.000 0.000
Ge 0.000 0.000 0.000

Properties
uncorrected energy = -4.613 eV/atom

---

Entry 19:
Crystalline Mn2InGe2 at its relaxed geometry, computed with GGA-PBE.

Cell: 6.978 6.978 3.199 Å, 90.00 90.00 90.00°
Site moments in Bohr magnetons follow the coordinates.
Atoms (fractional coordinates):
Mn 0.140 0.360 0.000  2.03
Mn 0.640 0.140 0.000  2.05
Mn 0.360 0.860 0.000  2.05
Mn 0.860 0.640 0.000  2.02
In 0.500 0.500 0.000  -0.08
In 0.000 0.000 0.000  -0.08
Ge 0.351 0.149 0.500  -0.14
Ge 0.149 0.649 0.500  -0.14
Ge 0.649 0.851 0.500  -0.14
Ge 0.851 0.351 0.500  -0.14

Properties
uncorrected energy = -5.898 eV/atom

---

Entry 20:
Crystalline Mn2InGe2 at its relaxed geometry, computed with GGA-PBE.

Cell: 7.717 7.717 2.823 Å, 90.00 90.00 90.00°
Site moments in Bohr magnetons follow the coordinates.
Atoms (fractional coordinates):
In 0.000 0.000 0.000  0.00
In 0.500 0.500 0.000  0.00
Ge 0.342 0.842 0.000  -0.13
Ge 0.842 0.658 0.000  -0.12
Ge 0.158 0.342 0.000  -0.12
Ge 0.658 0.158 0.000  -0.13
Mn 0.869 0.369 0.500  3.00
Mn 0.631 0.869 0.500  3.01
Mn 0.369 0.131 0.500  3.01
Mn 0.131 0.631 0.500  3.00

Properties
uncorrected energy = -5.913 eV/atom